Compound: Cs6ErS4
Source: Alexandria via LeMat-Bulk
Functional: PBE-GGA
Structure: optimized geometry

Summary:
* formation energy without anion corrections: -1.22 eV/atom
* total DFT energy (no corrections): -3.60 eV per atom
* density of states at the Fermi level: 0.1704 states/eV per atom
* total moment: 0.908 μB/cell

Lattice parameters (Å, degrees): 11.3468 11.3468 8.5027 90.00 90.00 120.00
Closest atoms and distances in Å follow each position.
Space group P6_3mc (No. 186)
Inequivalent atoms, fractional coordinates:
Cs 0.0690 0.5345 0.0000 [6 per cell]  5 S 3.58-3.85
Cs 0.1342 0.2684 0.3134 [6 per cell]  4 S 3.59-3.92
Er 0.3333 0.6667 0.5950 [2 per cell]  4 S 2.60
S 0.2090 0.4180 0.6983 [6 per cell]  1 Er 2.60
S 0.3333 0.6667 0.2895 [2 per cell]  1 Er 2.60